The following is a DFT calculation (PBE+U) of RbUVO5 after structural relaxation.

Values from the calculation:
- Total magnetization: 0.250 μB per atom
- Raw total energy: -8.080 eV/atom
- Space-group type: No. 15
- Volume: 17.41 A^3/atom

a b c (Å): 6.3420 6.3420 8.0507
angles (deg): 105.88 105.88 105.38
With the nearest neighbours (Å) after each atom.
Fractional positions:
Rb1 0.3331 0.6669 0.2500  7 O 2.74-3.04
Rb2 0.6669 0.3331 0.7500  7 O 2.74-3.04
U1 0.0000 0.0000 0.5000  6 O 2.11-2.21
U2 0.0000 0.0000 0.0000  6 O 2.11-2.21
V1 0.6903 0.3097 0.2500  4 O 1.82-1.84
V2 0.3097 0.6903 0.7500  4 O 1.82-1.84
O1 0.0618 0.9382 0.2500  2 U 2.11
O2 0.9382 0.0618 0.7500  2 U 2.11
O3 0.8806 0.2801 0.1157  1 V 1.84
O4 0.1194 0.7199 0.8843  1 V 1.84
O5 0.7199 0.1194 0.3843  1 V 1.84
O6 0.2801 0.8806 0.6157  1 V 1.84
O7 0.7747 0.6215 0.3849  1 V 1.82
O8 0.2253 0.3785 0.6151  1 V 1.82
O9 0.3785 0.2253 0.1151  1 V 1.82
O10 0.6215 0.7747 0.8849  1 V 1.82